Record 1
First-principles (GGA-PBE) data for a relaxed structure of MgBeAg2N, as listed in the Alexandria database.

Lattice parameters (Å, degrees): 5.0075 5.0075 3.7091 90.00 90.00 90.00
With the nearest neighbours (Å) after each atom.
Positions (direct):
Mg: 0.0000 0.0000 0.0000  2 N 1.85
Be: 0.5000 0.5000 0.5000  8 Ag 3.12
Ag: 0.0000 0.5000 0.0000  2 Mg 2.50
Ag: 0.5000 0.0000 0.0000  2 Mg 2.50
N: 0.0000 0.0000 0.5000  2 Mg 1.85

## Properties
* raw formation energy: 5.89 eV/f.u.

---

Record 2
First-principles (GGA-PBE) data for a relaxed structure of Er2Zn16Ir, as listed in the Alexandria database.

Lattice parameters (Å, degrees): 6.7623 6.7623 6.7623 82.73 82.73 82.73
With the nearest neighbours (Å) after each atom.
Positions (direct):
Er: 0.0000 0.0000 0.0000  19 Zn 3.10-3.46
Er: 0.3360 0.3360 0.3360  1 Ir 2.94, 15 Zn 3.19-3.28
Zn: 0.0187 0.0187 0.4978  8 Zn 2.55-2.80
Zn: 0.0187 0.4978 0.0187  8 Zn 2.55-2.80
Zn: 0.1647 0.6579 0.6579  9 Zn 2.55-2.74, 1 Ir 2.69
Zn: 0.3086 0.3086 0.8140  8 Zn 2.55-2.74, 1 Ir 2.83
Zn: 0.3086 0.8140 0.3086  8 Zn 2.55-2.74, 1 Ir 2.83
Zn: 0.3695 0.6587 0.9495  8 Zn 2.55-2.80
Zn: 0.3695 0.9495 0.6587  8 Zn 2.55-2.80
Zn: 0.4978 0.0187 0.0187  8 Zn 2.55-2.80
Zn: 0.6579 0.1647 0.6579  9 Zn 2.55-2.74, 1 Ir 2.69
Zn: 0.6579 0.6579 0.1647  9 Zn 2.55-2.74, 1 Ir 2.69
Zn: 0.6587 0.3695 0.9495  8 Zn 2.55-2.80
Zn: 0.6587 0.9495 0.3695  8 Zn 2.55-2.80
Zn: 0.7634 0.7634 0.7634  1 Ir 2.66, 12 Zn 2.74-2.93
Zn: 0.8140 0.3086 0.3086  8 Zn 2.55-2.74, 1 Ir 2.83
Zn: 0.9495 0.3695 0.6587  8 Zn 2.55-2.80
Zn: 0.9495 0.6587 0.3695  8 Zn 2.55-2.80
Ir: 0.5602 0.5602 0.5602  13 Zn 2.66-2.90, 1 Er 2.94

## Properties
* formation enthalpy at 0 K: -441 kJ/mol of formula units

---

Record 3
First-principles (GGA-PBE) data for a relaxed structure of Tb2Be2GeO7, as listed in the Alexandria database.

Lattice parameters (Å, degrees): 7.4717 7.4717 4.8355 90.00 90.00 90.00
With the nearest neighbours (Å) after each atom.
Positions (direct):
Tb: 0.1583 0.3417 0.0054  6 O 2.28-2.47
Tb: 0.3417 0.8417 0.9946  6 O 2.28-2.47
Tb: 0.6583 0.1583 0.9946  6 O 2.28-2.47
Tb: 0.8417 0.6583 0.0054  6 O 2.28-2.47
Be: 0.1347 0.6347 0.5464  4 O 1.57-1.71
Be: 0.3653 0.1347 0.4536  4 O 1.57-1.71
Be: 0.6347 0.8653 0.4536  4 O 1.57-1.71
Be: 0.8653 0.3653 0.5464  4 O 1.57-1.71
Ge: 0.0000 0.0000 0.5000  4 O 1.76
Ge: 0.5000 0.5000 0.5000  4 O 1.76
O: 0.0000 0.5000 0.6847  2 Be 1.57
O: 0.0812 0.8281 0.7151  1 Be 1.71, 1 Ge 1.76
O: 0.1419 0.6419 0.2179  1 Be 1.59
O: 0.1719 0.0812 0.2849  1 Be 1.71, 1 Ge 1.76
O: 0.3281 0.5812 0.7151  1 Be 1.71, 1 Ge 1.76
O: 0.3581 0.1419 0.7821  1 Be 1.59
O: 0.4188 0.3281 0.2849  1 Be 1.71, 1 Ge 1.76
O: 0.5000 0.0000 0.3153  2 Be 1.57
O: 0.5812 0.6719 0.2849  1 Be 1.71, 1 Ge 1.76
O: 0.6419 0.8581 0.7821  1 Be 1.59
O: 0.6719 0.4188 0.7151  1 Be 1.71, 1 Ge 1.76
O: 0.8281 0.9188 0.2849  1 Be 1.71, 1 Ge 1.76
O: 0.8581 0.3581 0.2179  1 Be 1.59
O: 0.9188 0.1719 0.7151  1 Be 1.71, 1 Ge 1.76

## Properties
* raw formation energy: -34.58 eV/f.u.

---

Record 4
First-principles (GGA-PBE) data for a relaxed structure of NaNb2SbS, as listed in the Alexandria database.

Lattice parameters (Å, degrees): 5.1909 5.1909 5.4267 90.00 90.00 90.00
With the nearest neighbours (Å) after each atom.
Positions (direct):
Na: 0.0000 0.0000 0.0000  4 S 3.67, 8 Nb 3.75
Nb: 0.0000 0.5000 0.5000  2 Sb 2.60
Nb: 0.5000 0.0000 0.5000  2 Sb 2.60
Sb: 0.5000 0.5000 0.5000  4 Nb 2.60, 2 S 2.71
S: 0.5000 0.5000 0.0000  2 Sb 2.71

## Properties
* raw formation energy: 6.56 eV/f.u.

---

Record 5
First-principles (GGA-PBE) data for a relaxed structure of Tl10In3Hg3, as listed in the Alexandria database.

Lattice parameters (Å, degrees): 9.4526 9.4526 6.2682 90.00 90.00 120.00
With the nearest neighbours (Å) after each atom.
Positions (direct):
Tl: 0.0000 0.2314 0.0000  3 In 3.31-3.46, 2 Hg 3.53
Tl: 0.0000 0.7700 0.5000  3 Hg 3.31-3.47, 2 In 3.53
Tl: 0.2300 0.2300 0.5000  3 Hg 3.31-3.47, 2 In 3.53
Tl: 0.2314 0.0000 0.0000  3 In 3.31-3.46, 2 Hg 3.53
Tl: 0.3333 0.6667 0.2508  2 Tl 3.12-3.14, 3 Hg 3.28, 3 In 3.28
Tl: 0.3333 0.6667 0.7492  2 Tl 3.12-3.14, 3 Hg 3.28, 3 In 3.28
Tl: 0.6667 0.3333 0.2508  2 Tl 3.12-3.14, 3 Hg 3.28, 3 In 3.28
Tl: 0.6667 0.3333 0.7492  2 Tl 3.12-3.14, 3 Hg 3.28, 3 In 3.28
Tl: 0.7686 0.7686 0.0000  3 In 3.31-3.46, 2 Hg 3.53
Tl: 0.7700 0.0000 0.5000  3 Hg 3.31-3.47, 2 In 3.53
In: 0.0000 0.5972 0.0000  9 Tl 3.28-3.53, 2 Hg 3.63
In: 0.4028 0.4028 0.0000  9 Tl 3.28-3.53, 2 Hg 3.63
In: 0.5972 0.0000 0.0000  9 Tl 3.28-3.53, 2 Hg 3.63
Hg: 0.0000 0.4030 0.5000  9 Tl 3.28-3.53, 2 In 3.63
Hg: 0.4030 0.0000 0.5000  9 Tl 3.28-3.53, 2 In 3.63
Hg: 0.5970 0.5970 0.5000  9 Tl 3.28-3.53, 2 In 3.63

## Properties
* formation enthalpy at 0 K: 41 kJ/mol of formula units

---

Record 6
First-principles (GGA-PBE) data for a relaxed structure of SrC2O5, as listed in the Alexandria database.

Lattice parameters (Å, degrees): 4.6438 4.6438 5.5512 106.71 106.71 99.15
With the nearest neighbours (Å) after each atom.
Positions (direct):
Sr: 0.0000 0.0000 0.0000  8 O 2.67-2.77
C: 0.3021 0.6979 0.5000  3 O 1.26-1.40
C: 0.6979 0.3021 0.5000  3 O 1.26-1.40
O: 0.0775 0.6222 0.2835  1 C 1.26
O: 0.3778 0.9225 0.7165  1 C 1.26
O: 0.5000 0.5000 0.5000  2 C 1.40
O: 0.6222 0.0775 0.2835  1 C 1.26
O: 0.9225 0.3778 0.7165  1 C 1.26

## Properties
* excess energy over the best structure of this formula in the dataset: 0 meV/atom
* raw formation energy: -13.84 eV/f.u.

---

Record 7
First-principles (GGA-PBE) data for a relaxed structure of NaVIN2, as listed in the Alexandria database.

Lattice parameters (Å, degrees): 3.8982 3.8982 5.7777 90.00 90.00 90.00
With the nearest neighbours (Å) after each atom.
Positions (direct):
Na: 0.0000 0.0000 0.0000  4 I 2.76
V: 0.5000 0.5000 0.5000  4 N 1.95
I: 0.5000 0.5000 0.0000  4 Na 2.76, 2 V 2.89
N: 0.0000 0.5000 0.5000  2 V 1.95
N: 0.5000 0.0000 0.5000  2 V 1.95

## Properties
* excess energy over the best structure of this formula in the dataset: 0 meV/atom
* raw formation energy: 0.45 eV/f.u.

---

Record 8
First-principles (GGA-PBE) data for a relaxed structure of HfSi2Ge, as listed in the Alexandria database.

Lattice parameters (Å, degrees): 5.8082 5.8082 5.8082 102.90 102.90 123.60
With the nearest neighbours (Å) after each atom.
Positions (direct):
Hf: 0.0000 0.0000 0.0000  4 Si 2.74, 2 Ge 2.74
Hf: 0.7500 0.2500 0.5000  4 Si 2.74, 2 Ge 2.74
Si: 0.1429 0.6250 0.0179  2 Ge 2.56, 2 Hf 2.74, 2 Si 2.76
Si: 0.3750 0.3929 0.5179  2 Ge 2.56, 2 Hf 2.74, 2 Si 2.76
Si: 0.6071 0.1250 0.9821  2 Ge 2.56, 2 Hf 2.74, 2 Si 2.76
Si: 0.8750 0.8571 0.4821  2 Ge 2.56, 2 Hf 2.74, 2 Si 2.76
Ge: 0.2500 0.7500 0.5000  4 Si 2.56, 2 Hf 2.74
Ge: 0.5000 0.5000 0.0000  4 Si 2.56, 2 Hf 2.74

## Properties
* raw formation energy: 0.40 eV/f.u.

---

Record 9
First-principles (GGA-PBE) data for a relaxed structure of SrZr2AlTc, as listed in the Alexandria database.

Lattice parameters (Å, degrees): 5.1293 5.1293 4.6678 90.00 90.00 90.00
With the nearest neighbours (Å) after each atom.
Positions (direct):
Sr: 0.0000 0.0000 0.0000  2 Tc 2.33, 4 Zr 2.56
Zr: 0.0000 0.5000 0.0000  2 Sr 2.56
Zr: 0.5000 0.0000 0.0000  2 Sr 2.56
Al: 0.5000 0.5000 0.5000  8 Zr 3.47, 4 Tc 3.63
Tc: 0.0000 0.0000 0.5000  2 Sr 2.33

## Properties
* formation enthalpy at 0 K: 969 kJ/mol of formula units

---

Record 10
First-principles (GGA-PBE) data for a relaxed structure of Ce2MgIn2, as listed in the Alexandria database.

Lattice parameters (Å, degrees): 5.8860 5.8860 5.8860 130.52 109.43 91.01
With the nearest neighbours (Å) after each atom.
Positions (direct):
Ce: 0.1663 0.1663 0.0000  1 Ce 2.74
Ce: 0.8337 0.8337 0.0000  1 Ce 2.74
Mg: 0.5000 0.0000 0.5000  4 In 3.04
In: 0.2370 0.5000 0.7370  2 Mg 3.04, 1 In 3.22, 6 Ce 3.25-3.28
In: 0.7630 0.5000 0.2630  2 Mg 3.04, 1 In 3.22, 6 Ce 3.25-3.28

## Properties
* formation enthalpy at 0 K: -117 kJ/mol of formula units

---

Record 11
First-principles (GGA-PBE) data for a relaxed structure of TlCoSn2Hg, as listed in the Alexandria database.

Lattice parameters (Å, degrees): 4.9552 4.9552 5.1353 90.00 90.00 90.00
With the nearest neighbours (Å) after each atom.
Positions (direct):
Tl: 0.0000 0.0000 0.0000  2 Co 2.57
Co: 0.0000 0.0000 0.5000  4 Sn 2.48, 2 Tl 2.57
Sn: 0.0000 0.5000 0.5000  2 Co 2.48
Sn: 0.5000 0.0000 0.5000  2 Co 2.48
Hg: 0.5000 0.5000 0.0000  4 Tl 3.50, 8 Sn 3.57

## Properties
* excess energy over the best structure of this formula in the dataset: 7 meV/atom
* formation enthalpy at 0 K: 41 kJ/mol of formula units

---

Record 12
First-principles (GGA-PBE) data for a relaxed structure of MgCo2Mo, as listed in the Alexandria database.

Lattice parameters (Å, degrees): 2.6515 3.8899 5.3142 90.00 90.00 90.00
With the nearest neighbours (Å) after each atom.
Positions (direct):
Mg: 0.0000 0.0000 0.0000  6 Co 2.57-2.75, 2 Mg 2.65
Co: 0.0000 0.0000 0.5171  2 Mg 2.57-2.75, 4 Mo 2.58, 6 Co 2.65-2.74
Co: 0.5000 0.5000 0.7807  1 Mo 2.45, 4 Mg 2.63, 6 Co 2.65-2.74
Mo: 0.5000 0.5000 0.3194  5 Co 2.45-2.58, 2 Mo 2.65

## Properties
* formation enthalpy at 0 K: 108 kJ/mol of formula units